Record 1
The following is a DFT calculation (PBE) of a relaxed NaCd8Au2 crystal.

Results
**Formation enthalpy at 0 K**: -0.01 eV per atom
**Offset from the most stable computed form**: 0.0598 eV/atom

```
NaCd8Au2
1.0
6.967 0.000 0.000
0.000 6.967 0.000
0.000 0.000 5.905
Na Cd Au
1 8 2
Direct
0.000 0.000 0.000
0.279 0.279 0.246
0.279 0.279 0.754
0.279 0.721 0.246
0.279 0.721 0.754
0.721 0.279 0.246
0.721 0.279 0.754
0.721 0.721 0.246
0.721 0.721 0.754
0.000 0.500 0.500
0.500 0.000 0.500
```

---

Record 2
The following is a DFT calculation (PBE) of a relaxed NaCd5Au3 crystal.

Results
**Formation enthalpy at 0 K**: -0.18 eV per atom

```
NaCd5Au3
1.0
8.494 0.000 0.000
-4.247 7.356 0.000
0.000 0.000 5.981
Na Cd Au
2 10 6
Direct
0.000 0.000 0.000
0.000 0.000 0.500
0.000 0.327 0.250
0.000 0.673 0.750
0.327 0.000 0.250
0.327 0.327 0.750
0.333 0.667 0.000
0.333 0.667 0.500
0.667 0.333 0.000
0.667 0.333 0.500
0.673 0.000 0.750
0.673 0.673 0.250
0.000 0.339 0.750
0.000 0.661 0.250
0.339 0.000 0.750
0.339 0.339 0.250
0.661 0.000 0.250
0.661 0.661 0.750
```

---

Record 3
The following is a DFT calculation (PBE) of a relaxed NaCd6Au6 crystal.

Results
**Formation enthalpy at 0 K**: -0.20 eV per atom

```
NaCd6Au6
1.0
-2.855 4.859 4.939
2.855 -4.859 4.939
2.855 4.859 -4.939
Na Cd Au
1 6 6
Direct
0.000 0.000 0.000
0.184 0.684 0.500
0.341 0.000 0.341
0.344 0.344 0.000
0.656 0.656 0.000
0.659 0.000 0.659
0.816 0.316 0.500
0.000 0.000 0.500
0.000 0.500 0.000
0.232 0.500 0.732
0.500 0.000 0.000
0.500 0.500 0.500
0.768 0.500 0.268
```

---

Record 4
The following is a DFT calculation (PBE) of a relaxed Na4Cd4Au crystal.

Results
**Formation enthalpy at 0 K**: -0.14 eV per atom

```
Na4Cd4Au
1.0
8.700 0.000 0.000
0.000 8.700 0.000
0.000 0.000 6.215
Na Cd Au
8 8 2
Direct
0.068 0.824 0.108
0.176 0.568 0.608
0.324 0.932 0.608
0.432 0.676 0.108
0.568 0.324 0.892
0.676 0.068 0.392
0.824 0.432 0.392
0.932 0.176 0.892
0.067 0.148 0.394
0.148 0.433 0.106
0.352 0.067 0.106
0.433 0.352 0.394
0.567 0.648 0.606
0.648 0.933 0.894
0.852 0.567 0.894
0.933 0.852 0.606
0.250 0.250 0.750
0.750 0.750 0.250
```

---

no.,total magnetic moment (Bohr magnetons per cell),total energy (eV per atom)
1,0.0,-1.39
2,0.0,-1.93
3,0.0,-2.23
4,0.0,-1.49